This record from the Alexandria database describes Na13Ni11O24 after structural relaxation. The functional is PBEsol.

Computed properties:
The symmetry is P-1 (2). The calculation puts the formation energy from raw total energies at -1137 meV/atom. The total energy comes out at -5.552 eV/atom.

Cell: 8.0009 8.0409 8.9618 Å, 106.61 103.87 112.44°
Atoms (fractional coordinates):
Na  0.2515  0.6146  0.8717
Na  0.0806  0.7128  0.1220
Na  0.9119  0.7886  0.3817
Na  0.0000  0.0000  0.0000
Na  0.7580  0.8790  0.6313
Na  0.4105  0.0432  0.1193
Na  0.5895  0.9568  0.8807
Na  0.0881  0.2114  0.6183
Na  0.2420  0.1210  0.3687
Na  0.9194  0.2872  0.8780
Na  0.5856  0.4611  0.3803
Na  0.4144  0.5389  0.6197
Na  0.7485  0.3854  0.1283
Ni  0.6639  0.6652  0.9989
Ni  0.3324  0.8343  0.4989
Ni  0.4911  0.7484  0.2475
Ni  0.1737  0.9191  0.7488
Ni  0.6676  0.1657  0.5011
Ni  0.8263  0.0809  0.2512
Ni  0.3361  0.3348  0.0011
Ni  0.0000  0.5000  0.5000
Ni  0.1621  0.4164  0.2500
Ni  0.5089  0.2516  0.7525
Ni  0.8379  0.5836  0.7500
O  0.0662  0.5936  0.3359
O  0.8949  0.6716  0.5823
O  0.4216  0.6528  0.4083
O  0.2642  0.7392  0.6606
O  0.9015  0.8854  0.1746
O  0.1026  0.7974  0.8930
O  0.7153  0.7357  0.8195
O  0.2387  0.0112  0.5837
O  0.3984  0.9304  0.3364
O  0.5528  0.8409  0.0864
O  0.8974  0.2026  0.1070
O  0.0985  0.1146  0.8254
O  0.7613  0.9888  0.4163
O  0.6016  0.0696  0.6636
O  0.1051  0.3284  0.4177
O  0.2847  0.2643  0.1805
O  0.4472  0.1591  0.9136
O  0.9338  0.4064  0.6641
O  0.7358  0.2608  0.3394
O  0.5784  0.3472  0.5917
O  0.4176  0.4341  0.8396
O  0.2219  0.5078  0.0863
O  0.5824  0.5659  0.1604
O  0.7781  0.4922  0.9137

=====

This record from the Alexandria database describes TlIn2Os after structural relaxation. The functional is PBEsol.

Computed properties:
The value obtained for the energy above the lowest structure with this stoichiometry is 0 meV/atom. The symmetry is P4/mmm (123). The formation energy comes out at 0.34 eV per atom. The total energy comes out at -4.864 eV/atom.

Cell: 3.1493 3.1493 8.6837 Å, 90.00 90.00 90.00°
Atoms (fractional coordinates):
In  0.0000  0.0000  0.8088
In  0.0000  0.0000  0.1912
Os  0.5000  0.5000  0.0000
Tl  0.5000  0.5000  0.5000

=====

This record from the Alexandria database describes Mg2TlIn after structural relaxation. The functional is PBEsol.

Computed properties:
The symmetry is P2/m (10). The formation energy comes out at -0.10 eV per atom. The total energy comes out at -2.357 eV/atom.

Cell: 3.2987 4.2621 7.3829 Å, 90.00 116.92 90.00°
Atoms (fractional coordinates):
Tl  0.5000  0.5000  0.0000
Mg  0.7469  0.0000  0.7467
Mg  0.2531  0.0000  0.2533
In  0.0000  0.5000  0.5000

=====

This record from the Alexandria database describes DyCoC after structural relaxation. The functional is PBEsol.

Computed properties:
The symmetry is P4_2/mmc (131). The formation energy comes out at -0.35 eV per atom. The total energy comes out at -7.804 eV/atom.

Cell: 3.5770 3.5770 6.8201 Å, 90.00 90.00 90.00°
Atoms (fractional coordinates):
C  0.5000  0.0000  0.5000
C  0.0000  0.5000  0.0000
Co  0.5000  0.5000  0.0000
Co  0.5000  0.5000  0.5000
Dy  0.0000  0.0000  0.7500
Dy  0.0000  0.0000  0.2500

=====

This record from the Alexandria database describes ZrFe2P after structural relaxation. The functional is PBEsol.

Computed properties:
The symmetry is I-4m2 (119). The formation energy comes out at -0.29 eV per atom. The total energy comes out at -8.488 eV/atom.

Cell: 3.5294 3.5294 4.7653 Å, 111.74 111.74 90.00°
Atoms (fractional coordinates):
Fe  0.0000  0.0000  0.0000
Fe  0.7500  0.2500  0.5000
P  0.5000  0.5000  0.0000
Zr  0.2500  0.7500  0.5000

=====

This record from the Alexandria database describes KLiBi3 after structural relaxation. The functional is PBEsol.

Computed properties:
The value obtained for the energy above the lowest structure with this stoichiometry is 0 meV/atom. The symmetry is Pm-3m (221). The formation energy comes out at -0.08 eV per atom. The total energy comes out at -3.268 eV/atom.

Cell: 5.2985 5.2985 5.2985 Å, 90.00 90.00 90.00°
Atoms (fractional coordinates):
K  0.5000  0.5000  0.5000
Bi  0.0000  0.5000  0.0000
Bi  0.0000  0.0000  0.5000
Bi  0.5000  0.0000  0.0000
Li  0.0000  0.0000  0.0000

=====

This record from the Alexandria database describes MnZn2Co after structural relaxation. The functional is PBEsol.

Computed properties:
The value obtained for the energy above the lowest structure with this stoichiometry is 75 meV/atom. The symmetry is F-43m (216). The formation energy comes out at 0.06 eV per atom. The total energy comes out at -5.103 eV/atom.

Cell: 4.0916 4.0916 4.0916 Å, 60.00 60.00 60.00°
Atoms (fractional coordinates):
Zn  0.0000  0.0000  0.0000
Zn  0.7500  0.7500  0.7500
Mn  0.2500  0.2500  0.2500
Co  0.5000  0.5000  0.5000

=====

This record from the Alexandria database describes Cd4CuCl after structural relaxation. The functional is PBEsol.

Computed properties:
The symmetry is F-43m (216). The calculation puts the formation energy from raw total energies at 258 meV/atom. The total energy comes out at -1.597 eV/atom.

Cell: 5.6809 5.6809 5.6809 Å, 60.00 60.00 60.00°
Atoms (fractional coordinates):
Cd  0.3744  0.3744  0.3744
Cd  0.3744  0.3744  0.8767
Cd  0.8767  0.3744  0.3744
Cd  0.3744  0.8767  0.3744
Cl  0.7500  0.7500  0.7500
Cu  0.0000  0.0000  0.0000

=====

no.,total moment (Bohr magnetons per cell),D(E_F) (states/eV/f.u.),mass density (Mg/m³)
1,9.1,17.09,4.70
2,0.0,2.74,12.04
3,0.0,1.62,6.60
4,0.6,2.38,8.88
5,0.3,3.35,7.68
6,0.0,2.71,7.51
7,3.9,3.07,8.39
8,0.0,3.65,7.03